! RbVTe2, relaxed, DFT PBE; values from VASP
&SYSTEM
  ibrav = 0, nat = 8, ntyp = 3
/
ATOMIC_SPECIES
Te 127.60 Te.upf
V 50.94 V.upf
Rb 85.47 Rb.upf
CELL_PARAMETERS angstrom
-3.974 1.426 6.898
3.210 -6.683 3.231
3.369 -0.041 6.690
ATOMIC_POSITIONS crystal
Te 0.230 0.625 0.250
V 0.500 0.500 0.000
V 0.250 0.750 0.500
Te 0.520 0.125 0.250
Rb 0.750 0.250 0.500
Te 0.875 0.770 0.750
Te 0.375 0.480 0.750
Rb 0.000 0.000 0.000
! ρ, kg/m³: 4109
! ΔE_f (raw), kJ/mol of formula units: -189